[1]
The following is a DFT calculation (GGA-PBE) of K2TiCuRu after structural relaxation.

```
K2TiCuRu
1.0
6.411 0.000 0.000
0.000 6.411 0.000
0.000 0.000 4.418
K Ti Cu Ru
2 1 1 1
Direct
0.000 0.500 0.000
0.500 0.000 0.000
0.000 0.000 0.500
0.500 0.500 0.500
0.000 0.000 0.000
```

Magnetization ... 0.0 μB per formula unit
DFT formation energy ... 1.02 eV/atom

[2]
The following is a DFT calculation (GGA-PBE) of ZrNb2SbPt after structural relaxation.

```
ZrNb2SbPt
1.0
4.991 0.000 0.000
0.000 4.991 0.000
0.000 0.000 4.949
Zr Nb Sb Pt
1 2 1 1
Direct
0.000 0.000 0.000
0.000 0.500 0.000
0.500 0.000 0.000
0.500 0.500 0.500
0.000 0.000 0.500
```

Formation energy without anion corrections ... 6.38 eV/f.u.
Magnetization ... 0.0 μB per formula unit

DOS(E_F) values (in states/eV per atom) by entry order: 0.931 2.412.